1.
! ZnTc3Se (PBEsol, optimized geometry); values from VASP
! Energy relative to the elements, uncorrected in eV/atom: 1.90
! SG: No. 221
! VASP energy in eV/cell: -29.7
&SYSTEM
  ibrav = 0, nat = 5, ntyp = 3
/
ATOMIC_SPECIES
Zn 65.41 Zn.upf
Tc 98.00 Tc.upf
Se 78.96 Se.upf
CELL_PARAMETERS angstrom
4.479 0.000 0.000
0.000 4.479 0.000
0.000 0.000 4.479
ATOMIC_POSITIONS angstrom
Zn 0.000 0.000 0.000
Tc 0.000 0.000 2.239
Tc 0.000 2.239 0.000
Tc 2.239 0.000 0.000
Se 2.239 2.239 2.239


2.
! CaSbPW2 (PBEsol, optimized geometry); values from VASP
! Energy relative to the elements, uncorrected in eV/atom: 2.05
! SG: No. 123
! VASP energy in eV/cell: -29.9
&SYSTEM
  ibrav = 0, nat = 5, ntyp = 4
/
ATOMIC_SPECIES
Ca 40.08 Ca.upf
Sb 121.76 Sb.upf
P 30.97 P.upf
W 183.84 W.upf
CELL_PARAMETERS angstrom
4.884 0.000 0.000
0.000 4.884 0.000
0.000 0.000 5.515
ATOMIC_POSITIONS angstrom
Ca 0.000 0.000 0.000
Sb 0.000 0.000 2.757
P 2.442 2.442 0.000
W 0.000 2.442 2.757
W 2.442 0.000 2.757


3.
! ZnMoP2 (PBEsol, optimized geometry); values from VASP
! SG: No. 65
! Formation energy in eV per atom: 0.08
! VASP energy in eV/cell: -24.6
&SYSTEM
  ibrav = 0, nat = 4, ntyp = 3
/
ATOMIC_SPECIES
Zn 65.41 Zn.upf
Mo 95.94 Mo.upf
P 30.97 P.upf
CELL_PARAMETERS angstrom
2.783 -3.127 0.000
2.783 3.127 0.000
0.000 0.000 3.126
ATOMIC_POSITIONS angstrom
Zn 0.000 0.000 0.000
Mo 2.783 0.000 0.000
P 1.392 1.563 1.563
P 1.392 -1.563 1.563


4.
! Y2CrFe (PBEsol, optimized geometry); values from VASP
! SG: No. 123
! Formation energy in eV per atom: 0.39
! VASP energy in eV/cell: -31.3
&SYSTEM
  ibrav = 0, nat = 4, ntyp = 3
/
ATOMIC_SPECIES
Y 88.91 Y.upf
Cr 52.00 Cr.upf
Fe 55.84 Fe.upf
CELL_PARAMETERS angstrom
4.775 0.000 0.000
0.000 4.775 0.000
0.000 0.000 3.444
ATOMIC_POSITIONS angstrom
Y 0.000 2.388 0.000
Y 2.388 0.000 0.000
Cr 0.000 0.000 1.722
Fe 2.388 2.388 1.722


5.
! NaSe2S2 (PBEsol, optimized geometry); values from VASP
! Energy relative to the elements, uncorrected in eV/atom: -0.12
! SG: No. 127
! VASP energy in eV/cell: -37.0
&SYSTEM
  ibrav = 0, nat = 10, ntyp = 3
/
ATOMIC_SPECIES
Na 22.99 Na.upf
Se 78.96 Se.upf
S 32.06 S.upf
CELL_PARAMETERS angstrom
7.830 0.000 0.000
0.000 7.830 0.000
0.000 0.000 3.928
ATOMIC_POSITIONS angstrom
Na 0.000 0.000 0.000
Na 3.915 3.915 0.000
Se 1.283 2.632 0.000
Se 2.632 6.548 0.000
Se 5.198 1.283 0.000
Se 6.548 5.198 0.000
S 1.761 5.676 1.964
S 2.154 1.761 1.964
S 5.676 6.069 1.964
S 6.069 2.154 1.964


6.
! ZnAuSeN2 (PBEsol, optimized geometry); values from VASP
! Energy relative to the elements, uncorrected in eV/atom: 1.49
! SG: No. 123
! VASP energy in eV/cell: -19.0
&SYSTEM
  ibrav = 0, nat = 5, ntyp = 4
/
ATOMIC_SPECIES
Zn 65.41 Zn.upf
Au 196.97 Au.upf
Se 78.96 Se.upf
N 14.01 N.upf
CELL_PARAMETERS angstrom
3.732 0.000 0.000
0.000 3.732 0.000
0.000 0.000 7.316
ATOMIC_POSITIONS angstrom
Zn 0.000 0.000 0.000
Au 1.866 1.866 3.658
Se 1.866 1.866 0.000
N 0.000 1.866 3.658
N 1.866 0.000 3.658


7.
! Tb2Fe17C3 (PBEsol, optimized geometry); values from VASP
! SG: No. 166
! Formation energy in eV per atom: -0.09
! VASP energy in eV/cell: -193.2
&SYSTEM
  ibrav = 0, nat = 22, ntyp = 3
/
ATOMIC_SPECIES
Tb 158.93 Tb.upf
Fe 55.84 Fe.upf
C 12.01 C.upf
CELL_PARAMETERS angstrom
4.236 2.446 4.082
-4.236 2.446 4.082
0.000 -4.892 4.082
ATOMIC_POSITIONS angstrom
Tb 0.000 0.000 1.909
Tb 0.000 0.000 10.338
Fe -2.118 -1.223 4.082
Fe 0.000 -2.394 3.913
Fe -2.073 1.197 3.913
Fe -1.198 -2.075 6.123
Fe -2.396 0.000 6.123
Fe -2.073 -1.197 8.334
Fe 0.000 0.000 4.955
Fe -2.118 1.223 8.165
Fe 1.198 -2.075 6.123
Fe 0.000 2.446 4.082
Fe -1.198 2.075 6.123
Fe 0.000 0.000 7.292
Fe 2.073 1.197 3.913
Fe 2.396 0.000 6.123
Fe 1.198 2.075 6.123
Fe 2.073 -1.197 8.334
Fe 0.000 2.394 8.334
C -4.236 0.000 6.123
C -2.118 1.223 2.041
C 2.118 1.223 2.041


8.
! TmRe2SiC (PBEsol, optimized geometry); values from VASP
! Energy relative to the elements, uncorrected in eV/atom: -0.47
! SG: No. 63
! VASP energy in eV/cell: -98.6
&SYSTEM
  ibrav = 0, nat = 10, ntyp = 4
/
ATOMIC_SPECIES
Tm 168.93 Tm.upf
Re 186.21 Re.upf
Si 28.09 Si.upf
C 12.01 C.upf
CELL_PARAMETERS angstrom
1.942 -5.410 0.000
1.942 5.410 0.000
0.000 0.000 7.196
ATOMIC_POSITIONS angstrom
Tm 1.942 4.953 5.397
Tm 1.942 -4.953 1.799
Re 1.942 1.877 4.043
Re 1.942 1.877 6.751
Re 1.942 -1.877 0.445
Re 1.942 -1.877 3.153
Si 1.942 2.853 1.799
Si 1.942 -2.853 5.397
C 1.942 0.000 0.000
C 1.942 0.000 3.598


9.
! FeCo (PBEsol, optimized geometry); values from VASP
! SG: No. 12
! Formation energy in eV per atom: 0.02
! VASP energy in eV/cell: -50.0
&SYSTEM
  ibrav = 0, nat = 6, ntyp = 2
/
ATOMIC_SPECIES
Fe 55.84 Fe.upf
Co 58.93 Co.upf
CELL_PARAMETERS angstrom
4.189 -1.970 0.000
4.189 1.970 0.000
-2.760 0.000 3.949
ATOMIC_POSITIONS angstrom
Fe 0.000 0.000 0.000
Fe 2.322 0.000 0.668
Fe 3.297 0.000 3.281
Co -1.380 0.000 1.975
Co 0.969 0.000 2.652
Co 4.649 0.000 1.298


10.
! ZrMnSb3 (PBEsol, optimized geometry); values from VASP
! Energy relative to the elements, uncorrected in eV/atom: 0.48
! SG: No. 221
! VASP energy in eV/cell: -30.1
&SYSTEM
  ibrav = 0, nat = 5, ntyp = 3
/
ATOMIC_SPECIES
Zr 91.22 Zr.upf
Mn 54.94 Mn.upf
Sb 121.76 Sb.upf
CELL_PARAMETERS angstrom
4.962 0.000 0.000
0.000 4.962 0.000
0.000 0.000 4.962
ATOMIC_POSITIONS angstrom
Zr 0.000 0.000 0.000
Mn 2.481 2.481 2.481
Sb 0.000 2.481 2.481
Sb 2.481 0.000 2.481
Sb 2.481 2.481 0.000


11.
! TlIn2Cu (PBEsol, optimized geometry); values from VASP
! SG: No. 119
! Formation energy in eV per atom: 0.24
! VASP energy in eV/cell: -12.0
&SYSTEM
  ibrav = 0, nat = 4, ntyp = 3
/
ATOMIC_SPECIES
Tl 204.38 Tl.upf
In 114.82 In.upf
Cu 63.55 Cu.upf
CELL_PARAMETERS angstrom
-2.235 2.235 4.394
2.235 -2.235 4.394
2.235 2.235 -4.394
ATOMIC_POSITIONS angstrom
Tl 0.000 0.000 0.000
In 2.235 0.000 2.197
In 0.000 0.000 4.394
Cu 0.000 2.235 2.197


12.
! BeIn2Si (PBEsol, optimized geometry); values from VASP
! Energy relative to the elements, uncorrected in eV/atom: 0.53
! SG: No. 12
! VASP energy in eV/cell: -13.6
&SYSTEM
  ibrav = 0, nat = 4, ntyp = 3
/
ATOMIC_SPECIES
Be 9.01 Be.upf
In 114.82 In.upf
Si 28.09 Si.upf
CELL_PARAMETERS angstrom
3.002 -3.941 0.000
3.002 3.941 0.000
-0.521 0.000 3.158
ATOMIC_POSITIONS angstrom
Be 0.000 0.000 0.000
In 1.241 1.971 1.579
In 1.241 -1.971 1.579
Si 3.002 0.000 0.000


Question: Which formula does entry 1 have?
Answer: ZnTc3Se


Question: Among the records above, which one has the highest VASP energy?
Answer: TlIn2Cu


Question: VASP energy of number 9 (FeCo)?
Answer: -50.0 eV/cell